First-principles (PBE) data for crystalline YZrCl3 at its relaxed geometry, as listed in Alexandria.

```
YZrCl3
1.0
-4.357 -2.432 0.667
2.250 -3.147 3.221
-1.139 3.086 3.810
Y Zr Cl
1 1 3
Direct
0.500 0.500 0.500
0.000 0.000 0.000
0.000 0.500 0.000
0.000 0.000 0.500
0.500 0.000 0.000
```

Polymorph energy (0 for the lowest one) in meV per atom: 0.0
Magnetic moment in μB/f.u.: 2.10
Formation energy without anion corrections in eV/atom: -0.686